VASP calculation (meta-GGA SCAN) on Tl2CrCo at its PBEsol-relaxed geometry.

* crystal system: tetragonal
* VASP energy: -178.5 eV per cell
* calculated formation energy: 1.94 eV/f.u.
* E above lowest polymorph: 0.00 kJ per mole of atoms

Unit cell a=4.634 b=4.634 c=4.634 alpha=122.55 beta=122.55 gamma=85.63
Atoms (fractional coordinates):
Tl1 0.250 0.750 0.500
Tl2 0.750 0.250 0.500
Cr1 0.000 0.000 0.000
Co1 0.500 0.500 0.000